[1]
A plane-wave DFT calculation with PBE was carried out for a relaxed LaBrO2 crystal.

Structure (POSCAR):
```
LaBrO2
1.0
4.6621 0.0000 0.0000
0.0000 4.6621 0.0000
2.3311 2.3311 7.3244
O Br La
4 2 2
Direct
0.6676 0.1250 0.2500 O
0.0824 0.6250 0.2500 O
0.3750 0.3324 0.7500 O
0.8750 0.9176 0.7500 O
0.5000 0.5000 0.0000 Br
0.2500 0.7500 0.5000 Br
0.0000 0.0000 0.0000 La
0.7500 0.2500 0.5000 La
```

space-group type: I-42d (122)
E_form (uncorrected): -1458 meV per atom
excess energy over the best structure of this formula in the dataset: 697.2 meV/atom



[2]
A plane-wave DFT calculation with PBE was carried out for a relaxed LaBrO2 crystal.

Structure (POSCAR):
```
LaBrO2
1.0
3.5714 -2.0619 0.0000
0.0000 4.1239 0.0000
0.0000 0.0000 5.1220
O Br La
2 1 1
Direct
0.3333 0.6667 0.8637 O
0.6667 0.3333 0.3638 O
0.0000 0.0000 0.8637 Br
0.3333 0.6667 0.3637 La
```

space-group type: P-6m2 (187)
E_form (uncorrected): -1744 meV per atom
excess energy over the best structure of this formula in the dataset: 411.0 meV/atom



[3]
A plane-wave DFT calculation with PBE was carried out for a relaxed La2BrO2 crystal.

Structure (POSCAR):
```
La2BrO2
1.0
-1.3452 -3.1130 -2.3617
2.3152 -3.3918 -0.4624
-3.3555 -3.1173 6.0091
La Br O
2 1 2
Direct
0.6670 0.1670 0.3164 La
0.3330 0.8330 0.6836 La
0.0000 0.5000 0.0000 Br
0.3335 0.8335 0.3698 O
0.6665 0.1665 0.6302 O
```

space-group type: P-3m1 (164)
E_form (uncorrected): -2907 meV per atom
excess energy over the best structure of this formula in the dataset: 0.0 meV/atom



[4]
A plane-wave DFT calculation with PBE was carried out for a relaxed LaBrO2 crystal.

Structure (POSCAR):
```
LaBrO2
1.0
6.1688 0.0000 0.0000
0.0000 4.0283 0.0000
0.0000 0.0000 13.3379
O Br La
8 4 4
Direct
0.8377 0.2500 0.4825 O
0.6623 0.7500 0.9825 O
0.1623 0.7500 0.5175 O
0.3377 0.2500 0.0175 O
0.4085 0.2500 0.7469 O
0.0915 0.7500 0.2469 O
0.5915 0.7500 0.2531 O
0.9085 0.2500 0.7531 O
0.3440 0.2500 0.2903 Br
0.1560 0.7500 0.7903 Br
0.6560 0.7500 0.7097 Br
0.8440 0.2500 0.2097 Br
0.1358 0.2500 0.5966 La
0.3642 0.7500 0.0966 La
0.8642 0.7500 0.4034 La
0.6358 0.2500 0.9034 La
```

space-group type: Pnma (62)
E_form (uncorrected): -1751 meV per atom
excess energy over the best structure of this formula in the dataset: 404.1 meV/atom



[5]
A plane-wave DFT calculation with PBE was carried out for a relaxed La3BrO4 crystal.

Structure (POSCAR):
```
La3BrO4
1.0
4.1164 0.0000 0.0000
0.0000 4.1164 0.0000
0.0000 0.0000 9.6359
O Br La
4 1 3
Direct
0.0000 0.5000 0.1550 O
0.0000 0.5000 0.8450 O
0.5000 0.0000 0.8450 O
0.5000 0.0000 0.1550 O
0.0000 0.0000 0.5000 Br
0.0000 0.0000 0.0000 La
0.5000 0.5000 0.2617 La
0.5000 0.5000 0.7383 La
```

space-group type: P4/mmm (123)
E_form (uncorrected): -3263 meV per atom



[6]
A plane-wave DFT calculation with PBE was carried out for a relaxed La4BrO5 crystal.

Structure (POSCAR):
```
La4BrO5
1.0
-0.4824 4.4097 4.2320
-5.2005 -3.9290 3.5011
6.8511 -4.3414 5.3046
La Br O
8 2 10
Direct
0.0491 0.0000 0.7077 La
0.4391 0.7417 0.0000 La
0.4391 0.2583 0.0000 La
0.0491 0.0000 0.2923 La
0.9509 0.5000 0.2077 La
0.5609 0.7583 0.5000 La
0.5609 0.2417 0.5000 La
0.9509 0.5000 0.7923 La
0.8361 0.0000 0.0000 Br
0.1639 0.5000 0.5000 Br
0.2172 0.7458 0.8205 O
0.2172 0.2542 0.8205 O
0.7158 0.5000 0.0000 O
0.2172 0.7458 0.1795 O
0.2172 0.2542 0.1795 O
0.7828 0.7542 0.3205 O
0.7828 0.2458 0.3205 O
0.2842 0.0000 0.5000 O
0.7828 0.2458 0.6795 O
0.7828 0.7542 0.6795 O
```

space-group type: Pmmn (59)
E_form (uncorrected): -2989 meV per atom



[7]
A plane-wave DFT calculation with PBE was carried out for a relaxed La2BrO crystal.

Structure (POSCAR):
```
La2BrO
1.0
-1.0529 2.3413 -2.7646
-3.0572 2.1689 0.4270
2.8254 6.8417 2.1440
O Br La
1 1 2
Direct
0.0000 0.0000 0.0000 O
0.5000 0.5000 0.5000 Br
0.2713 0.2713 0.1861 La
0.7287 0.7287 0.8139 La
```

space-group type: R-3m (166)
E_form (uncorrected): -2039 meV per atom
excess energy over the best structure of this formula in the dataset: 0.0 meV/atom



[8]
A plane-wave DFT calculation with PBE was carried out for a relaxed LaBrO2 crystal.

Structure (POSCAR):
```
LaBrO2
1.0
6.3306 0.0134 -0.0048
0.7752 4.0268 -0.0296
3.4001 0.6129 6.3736
Br O La
2 4 2
Direct
0.0650 0.3215 0.2672 Br
0.5905 0.6918 0.6036 Br
0.8425 0.7233 0.7412 O
0.7061 0.1750 0.0465 O
0.3578 0.8922 0.8319 O
0.3762 0.6529 0.5024 O
0.0377 0.1659 0.7222 La
0.5188 0.7182 0.1034 La
```

space-group type: P1 (1)
E_form (uncorrected): -2112 meV per atom
excess energy over the best structure of this formula in the dataset: 43.5 meV/atom